1.
A plane-wave DFT calculation with PBE was carried out for a relaxed structure of Li2ScOs.

Structure (extended XYZ):
```
4
Lattice="-1.832 2.179 3.831 1.832 -2.179 3.831 1.832 2.179 -3.831" Properties=species:S:1:pos:R:3 pbc="T T T"
Li 0.000 0.000 0.000
Li 0.000 2.179 2.120
Sc 0.000 0.000 3.946
Os 1.832 0.000 1.897
```

Results
crystal system	orthorhombic
magnetization	0.0	Bohr magnetons per cell
Fermi-level density of states	1.5	states/eV/f.u.
energy relative to the elements	0.147	eV/atom

=====

2.
A plane-wave DFT calculation with PBE was carried out for a relaxed structure of Li2ScOs.

Structure (extended XYZ):
```
4
Lattice="-1.894 1.894 4.398 1.894 -1.894 4.398 1.894 1.894 -4.398" Properties=species:S:1:pos:R:3 pbc="T T T"
Li 1.894 0.000 2.199
Li 0.000 1.894 2.199
Sc 0.000 0.000 0.000
Os 0.000 0.000 4.398
```

Results
crystal system	tetragonal
magnetization	0.0	Bohr magnetons per cell
Fermi-level density of states	2.8	states/eV/f.u.
energy relative to the elements	0.115	eV/atom

=====

3.
A plane-wave DFT calculation with PBE was carried out for a relaxed structure of Li2ScOs.

Structure (extended XYZ):
```
4
Lattice="3.765 0.000 0.000 0.000 3.765 0.000 0.000 0.000 4.573" Properties=species:S:1:pos:R:3 pbc="T T T"
Li 0.000 1.882 0.000
Li 1.882 0.000 0.000
Sc 0.000 0.000 2.287
Os 1.882 1.882 2.287
```

Results
crystal system	tetragonal
magnetization	0.0	Bohr magnetons per cell
Fermi-level density of states	2.9	states/eV/f.u.
energy relative to the elements	0.150	eV/atom

=====

4.
A plane-wave DFT calculation with PBE was carried out for a relaxed structure of Li2ScOs.

Structure (extended XYZ):
```
4
Lattice="1.374 0.793 10.001 -1.374 0.793 10.001 0.000 -1.587 10.001" Properties=species:S:1:pos:R:3 pbc="T T T"
Li 0.000 0.000 7.237
Li 0.000 0.000 22.766
Sc 0.000 0.000 0.000
Os 0.000 0.000 15.002
```

Results
crystal system	trigonal
magnetization	0.0	Bohr magnetons per cell
Fermi-level density of states	2.9	states/eV/f.u.
energy relative to the elements	0.316	eV/atom

=====

What did the fourth record say?
A plane-wave DFT calculation with PBE was carried out for a relaxed structure of Li2ScOs.

Structure (extended XYZ):
```
4
Lattice="1.374 0.793 10.001 -1.374 0.793 10.001 0.000 -1.587 10.001" Properties=species:S:1:pos:R:3 pbc="T T T"
Li 0.000 0.000 7.237
Li 0.000 0.000 22.766
Sc 0.000 0.000 0.000
Os 0.000 0.000 15.002
```

Results
crystal system	trigonal
magnetization	0.0	Bohr magnetons per cell
Fermi-level density of states	2.9	states/eV/f.u.
energy relative to the elements	0.316	eV/atom

=====

What is the formula in the first record?
Li2ScOs